1.
Here is Li5Pb at its PBEsol-relaxed geometry from the Alexandria database. Energies are from meta-GGA SCAN.

Lattice parameters (Å, degrees): 5.326 5.326 5.326 60.00 60.00 60.00
Sites, in units of the cell vectors:
Li: 0.000 0.000 0.000
Li: 0.376 0.376 0.376
Li: 0.376 0.376 0.872
Li: 0.376 0.872 0.376
Li: 0.872 0.376 0.376
Pb: 0.750 0.750 0.750

Values from the calculation:
Its relative energy among the computed polymorphs is 0.47 eV/f.u. The value obtained for the calculated total energy is -89.172 eV for the cell shown. The density of states at the Fermi level comes out at 0.3 states/eV/f.u. The energy relative to the elements is -240 meV/atom.


2.
Here is Mn2IrCl at its PBEsol-relaxed geometry from the Alexandria database. Energies are from meta-GGA SCAN.

Lattice parameters (Å, degrees): 2.865 2.889 7.084 90.00 101.50 90.00
Sites, in units of the cell vectors:
Mn: 0.000 0.000 0.000
Mn: 0.383 0.500 0.762
Ir: 0.786 0.000 0.566
Cl: 0.622 0.500 0.238

Values from the calculation:
Its relative energy among the computed polymorphs is 0.44 eV/f.u. The value obtained for the calculated total energy is -115.827 eV for the cell shown. The density of states at the Fermi level comes out at 2.3 states/eV/f.u. The formation energy (no corrections) is -0.060 eV per atom.


3.
Here is CrTc2Ru at its PBEsol-relaxed geometry from the Alexandria database. Energies are from meta-GGA SCAN.

Lattice parameters (Å, degrees): 4.602 4.602 4.602 131.86 131.86 70.45
Sites, in units of the cell vectors:
Cr: 0.000 0.000 0.000
Tc: 0.250 0.750 0.500
Tc: 0.500 0.500 0.000
Ru: 0.750 0.250 0.500

Values from the calculation:
Its relative energy among the computed polymorphs is 0.00 eV/f.u. The value obtained for the calculated total energy is -122.836 eV for the cell shown. The density of states at the Fermi level comes out at 4.5 states/eV/f.u. The energy relative to the elements is 124 meV/atom.


4.
Here is RbLuMo2O8 at its PBEsol-relaxed geometry from the Alexandria database. Energies are from meta-GGA SCAN.

Lattice parameters (Å, degrees): 7.321 7.321 7.541 118.03 118.03 88.12
Sites, in units of the cell vectors:
Rb: 0.196 0.804 0.750
Rb: 0.804 0.196 0.250
Lu: 0.230 0.770 0.250
Lu: 0.770 0.230 0.750
Mo: 0.302 0.303 0.763
Mo: 0.303 0.302 0.263
Mo: 0.697 0.698 0.737
Mo: 0.698 0.697 0.237
O: 0.045 0.210 0.698
O: 0.064 0.380 0.120
O: 0.210 0.045 0.198
O: 0.233 0.386 0.561
O: 0.367 0.587 0.034
O: 0.380 0.064 0.620
O: 0.386 0.233 0.061
O: 0.413 0.633 0.466
O: 0.587 0.367 0.534
O: 0.614 0.767 0.939
O: 0.620 0.936 0.380
O: 0.633 0.413 0.966
O: 0.767 0.614 0.439
O: 0.790 0.955 0.802
O: 0.936 0.620 0.880
O: 0.955 0.790 0.302

Values from the calculation:
The value obtained for the calculated total energy is -454.831 eV for the cell shown. The density of states at the Fermi level comes out at 0.0 states/eV/f.u. The formation energy (no corrections) is -2.643 eV per atom.


5.
Here is BaTi2Sb2 at its PBEsol-relaxed geometry from the Alexandria database. Energies are from meta-GGA SCAN.

Lattice parameters (Å, degrees): 7.719 7.719 7.719 147.61 147.61 46.47
Sites, in units of the cell vectors:
Ba: 0.000 0.000 0.000
Ti: 0.250 0.750 0.500
Ti: 0.750 0.250 0.500
Sb: 0.371 0.371 0.000
Sb: 0.629 0.629 0.000

Values from the calculation:
The value obtained for the calculated total energy is -149.458 eV for the cell shown. The density of states at the Fermi level comes out at 5.2 states/eV/f.u. The formation energy (no corrections) is -0.665 eV per atom.


6.
Here is Sc2HS at its PBEsol-relaxed geometry from the Alexandria database. Energies are from meta-GGA SCAN.

Lattice parameters (Å, degrees): 7.342 7.342 7.342 27.38 27.38 27.38
Sites, in units of the cell vectors:
Sc: 0.109 0.109 0.109
Sc: 0.891 0.891 0.891
H: 0.500 0.500 0.500
S: 0.000 0.000 0.000

Values from the calculation:
The value obtained for the calculated total energy is -43.478 eV for the cell shown. The density of states at the Fermi level comes out at 2.3 states/eV/f.u.


7.
Here is ZrSb2Pd at its PBEsol-relaxed geometry from the Alexandria database. Energies are from meta-GGA SCAN.

Lattice parameters (Å, degrees): 4.869 4.869 4.869 60.00 60.00 60.00
Sites, in units of the cell vectors:
Zr: 0.000 0.000 0.000
Sb: 0.250 0.250 0.250
Sb: 0.750 0.750 0.750
Pd: 0.500 0.500 0.500

Values from the calculation:
The value obtained for the calculated total energy is -139.298 eV for the cell shown. The density of states at the Fermi level comes out at 1.2 states/eV/f.u. The formation energy (no corrections) is -0.326 eV per atom.


8.
Here is Li2TaPt at its PBEsol-relaxed geometry from the Alexandria database. Energies are from meta-GGA SCAN.

Lattice parameters (Å, degrees): 3.671 3.671 4.555 90.00 90.00 90.00
Sites, in units of the cell vectors:
Li: 0.000 0.500 0.000
Li: 0.500 0.000 0.000
Ta: 0.000 0.000 0.500
Pt: 0.500 0.500 0.500

Values from the calculation:
Its relative energy among the computed polymorphs is 0.00 eV/f.u. The value obtained for the calculated total energy is -142.545 eV for the cell shown. The density of states at the Fermi level comes out at 2.0 states/eV/f.u. The energy relative to the elements is -247 meV/atom.